# PBE Mg2ZrTc, optimized geometry
# Energy above the most stable polymorph in this dataset = 0.1242 eV per atom
# Symmetry = Pm
# DFT formation energy = 0.105 eV/atom
# Energy = -21.68 eV/cell
# Magnetic moment = 0.00 Bohr magnetons per cell
data_Mg2ZrTc
_chemical_formula_sum 'Mg2 Zr1 Tc1'
_space_group_name_H-M_alt 'P 1'
_space_group_IT_number 1
_cell_length_a 4.4947
_cell_length_b 2.9066
_cell_length_c 5.9901
_cell_angle_alpha 78.27
_cell_angle_beta 90.00
_cell_angle_gamma 90.00
loop_
_space_group_symop_operation_xyz
'x,y,z'
loop_
_atom_site_label
_atom_site_fract_x
_atom_site_fract_y
_atom_site_fract_z
Mg1 0.0000 0.0108 0.0107
Mg2 0.5000 0.2906 0.2608
Tc1 0.0000 0.5012 0.5078
Zr1 0.5000 0.6975 0.7207

# PBE Mg2ZrTc, optimized geometry
# Energy above the most stable polymorph in this dataset = 0.1179 eV per atom
# Symmetry = Imm2
# DFT formation energy = 0.098 eV/atom
# Energy = -21.71 eV/cell
# Magnetic moment = 0.00 Bohr magnetons per cell
data_Mg2ZrTc
_chemical_formula_sum 'Mg2 Zr1 Tc1'
_space_group_name_H-M_alt 'P 1'
_space_group_IT_number 1
_cell_length_a 5.5300
_cell_length_b 5.5300
_cell_length_c 5.5300
_cell_angle_alpha 144.26
_cell_angle_beta 126.56
_cell_angle_gamma 65.96
loop_
_space_group_symop_operation_xyz
'x,y,z'
loop_
_atom_site_label
_atom_site_fract_x
_atom_site_fract_y
_atom_site_fract_z
Mg1 0.0028 0.0028 0.0000
Mg2 0.2702 0.7702 0.5000
Tc1 0.5087 0.5087 0.0000
Zr1 0.7183 0.2183 0.5000

# PBE MgTe5, optimized geometry
# Energy above the most stable polymorph in this dataset = 0.1722 eV per atom
# Symmetry = P-62m
# Formation energy from raw total energies = 0.024 eV per atom
# Energy = -17.16 eV/cell
# Magnetic moment = 0.00 Bohr magnetons per cell
data_MgTe5
_chemical_formula_sum 'Mg1 Te5'
_space_group_name_H-M_alt 'P 1'
_space_group_IT_number 1
_cell_length_a 7.1342
_cell_length_b 7.1342
_cell_length_c 4.1558
_cell_angle_alpha 90.00
_cell_angle_beta 90.00
_cell_angle_gamma 120.00
loop_
_space_group_symop_operation_xyz
'x,y,z'
loop_
_atom_site_label
_atom_site_fract_x
_atom_site_fract_y
_atom_site_fract_z
Mg1 0.0000 0.0000 0.5000
Te1 0.6892 0.0000 0.0000
Te2 0.3108 0.3108 0.0000
Te3 0.0000 0.6892 0.0000
Te4 0.6667 0.3333 0.5000
Te5 0.3333 0.6667 0.5000

# PBE Mg5Te, optimized geometry
# Energy above the most stable polymorph in this dataset = 0.0867 eV per atom
# Symmetry = P-62m
# Formation energy from raw total energies = -0.034 eV per atom
# Energy = -11.32 eV/cell
# Magnetic moment = 0.00 Bohr magnetons per cell
data_Mg5Te
_chemical_formula_sum 'Mg5 Te1'
_space_group_name_H-M_alt 'P 1'
_space_group_IT_number 1
_cell_length_a 5.5053
_cell_length_b 5.5053
_cell_length_c 5.4572
_cell_angle_alpha 90.00
_cell_angle_beta 90.00
_cell_angle_gamma 120.00
loop_
_space_group_symop_operation_xyz
'x,y,z'
loop_
_atom_site_label
_atom_site_fract_x
_atom_site_fract_y
_atom_site_fract_z
Mg1 0.6659 0.0000 0.0000
Mg2 0.3341 0.3341 0.0000
Mg3 0.0000 0.6659 0.0000
Mg4 0.6667 0.3333 0.5000
Mg5 0.3333 0.6667 0.5000
Te1 0.0000 0.0000 0.5000

# PBE MgTe2, optimized geometry
# Symmetry = P6_3/mmc
# Formation energy from raw total energies = -0.481 eV per atom
# Energy = -18.64 eV/cell
# Magnetic moment = 0.00 Bohr magnetons per cell
data_MgTe2
_chemical_formula_sum 'Mg2 Te4'
_space_group_name_H-M_alt 'P 1'
_space_group_IT_number 1
_cell_length_a 4.5755
_cell_length_b 4.5755
_cell_length_c 11.1464
_cell_angle_alpha 90.00
_cell_angle_beta 90.00
_cell_angle_gamma 120.00
loop_
_space_group_symop_operation_xyz
'x,y,z'
loop_
_atom_site_label
_atom_site_fract_x
_atom_site_fract_y
_atom_site_fract_z
Mg1 0.0000 0.0000 0.0000
Mg2 0.0000 0.0000 0.5000
Te1 0.3333 0.6667 0.8762
Te2 0.6667 0.3333 0.3762
Te3 0.3333 0.6667 0.6238
Te4 0.6667 0.3333 0.1238

# PBE Mg3Te, optimized geometry
# Energy above the most stable polymorph in this dataset = 0.0488 eV per atom
# Symmetry = R-3m
# Formation energy from raw total energies = -0.159 eV per atom
# Energy = -8.56 eV/cell
# Magnetic moment = 0.00 Bohr magnetons per cell
data_Mg3Te
_chemical_formula_sum 'Mg3 Te1'
_space_group_name_H-M_alt 'P 1'
_space_group_IT_number 1
_cell_length_a 8.3273
_cell_length_b 8.3273
_cell_length_c 8.3273
_cell_angle_alpha 28.11
_cell_angle_beta 28.11
_cell_angle_gamma 28.11
loop_
_space_group_symop_operation_xyz
'x,y,z'
loop_
_atom_site_label
_atom_site_fract_x
_atom_site_fract_y
_atom_site_fract_z
Mg1 0.7400 0.7400 0.7400
Mg2 0.5000 0.5000 0.5000
Mg3 0.2600 0.2600 0.2600
Te1 0.0000 0.0000 0.0000

# PBE Mg4Te3, optimized geometry
# Energy above the most stable polymorph in this dataset = 0.5965 eV per atom
# Symmetry = P6/mmm
# Formation energy from raw total energies = 0.078 eV per atom
# Energy = -15.25 eV/cell
# Magnetic moment = 0.00 Bohr magnetons per cell
data_Mg4Te3
_chemical_formula_sum 'Mg4 Te3'
_space_group_name_H-M_alt 'P 1'
_space_group_IT_number 1
_cell_length_a 6.3593
_cell_length_b 6.3593
_cell_length_c 5.6774
_cell_angle_alpha 90.00
_cell_angle_beta 90.00
_cell_angle_gamma 120.00
loop_
_space_group_symop_operation_xyz
'x,y,z'
loop_
_atom_site_label
_atom_site_fract_x
_atom_site_fract_y
_atom_site_fract_z
Mg1 0.0000 0.0000 0.2531
Mg2 0.0000 0.0000 0.7469
Mg3 0.6667 0.3333 0.5000
Mg4 0.3333 0.6667 0.5000
Te1 0.0000 0.5000 0.0000
Te2 0.5000 0.5000 0.0000
Te3 0.5000 0.0000 0.0000

# PBE Mg3Te5, optimized geometry
# Energy above the most stable polymorph in this dataset = 0.1427 eV per atom
# Symmetry = P4/mmm
# Formation energy from raw total energies = -0.310 eV per atom
# Energy = -22.97 eV/cell
# Magnetic moment = 0.00 Bohr magnetons per cell
data_Mg3Te5
_chemical_formula_sum 'Mg3 Te5'
_space_group_name_H-M_alt 'P 1'
_space_group_IT_number 1
_cell_length_a 3.9506
_cell_length_b 3.9506
_cell_length_c 14.7526
_cell_angle_alpha 90.00
_cell_angle_beta 90.00
_cell_angle_gamma 90.00
loop_
_space_group_symop_operation_xyz
'x,y,z'
loop_
_atom_site_label
_atom_site_fract_x
_atom_site_fract_y
_atom_site_fract_z
Mg1 0.0000 0.0000 0.5000
Mg2 0.5000 0.5000 0.1330
Mg3 0.5000 0.5000 0.8670
Te1 0.0000 0.0000 0.0000
Te2 0.0000 0.0000 0.2085
Te3 0.0000 0.0000 0.7915
Te4 0.5000 0.5000 0.4019
Te5 0.5000 0.5000 0.5981

# PBE MgTe2, optimized geometry
# Symmetry = Pnnm
# Formation energy from raw total energies = -0.542 eV per atom
# Energy = -19.01 eV/cell
# Magnetic moment = 0.00 Bohr magnetons per cell
data_MgTe2
_chemical_formula_sum 'Mg2 Te4'
_space_group_name_H-M_alt 'P 1'
_space_group_IT_number 1
_cell_length_a 4.4796
_cell_length_b 5.8172
_cell_length_c 7.1325
_cell_angle_alpha 90.00
_cell_angle_beta 90.00
_cell_angle_gamma 90.00
loop_
_space_group_symop_operation_xyz
'x,y,z'
loop_
_atom_site_label
_atom_site_fract_x
_atom_site_fract_y
_atom_site_fract_z
Mg1 0.0000 0.0000 0.0000
Mg2 0.5000 0.5000 0.5000
Te1 0.0000 0.1931 0.6163
Te2 0.0000 0.8069 0.3837
Te3 0.5000 0.6931 0.8837
Te4 0.5000 0.3069 0.1163

# PBE Mg3Te, optimized geometry
# Energy above the most stable polymorph in this dataset = 0.0182 eV per atom
# Symmetry = Cmmm
# Formation energy from raw total energies = -0.190 eV per atom
# Energy = -8.69 eV/cell
# Magnetic moment = 0.00 Bohr magnetons per cell
data_Mg3Te
_chemical_formula_sum 'Mg3 Te1'
_space_group_name_H-M_alt 'P 1'
_space_group_IT_number 1
_cell_length_a 5.2038
_cell_length_b 5.2038
_cell_length_c 3.8821
_cell_angle_alpha 90.00
_cell_angle_beta 90.00
_cell_angle_gamma 108.89
loop_
_space_group_symop_operation_xyz
'x,y,z'
loop_
_atom_site_label
_atom_site_fract_x
_atom_site_fract_y
_atom_site_fract_z
Mg1 0.0000 0.5000 0.5000
Mg2 0.5000 0.0000 0.5000
Mg3 0.5000 0.5000 0.0000
Te1 0.0000 0.0000 0.0000

# PBE Mg3Te2, optimized geometry
# Energy above the most stable polymorph in this dataset = 0.1035 eV per atom
# Symmetry = Fdd2
# Formation energy from raw total energies = -0.432 eV per atom
# Energy = -26.45 eV/cell
# Magnetic moment = 0.00 Bohr magnetons per cell
data_Mg3Te2
_chemical_formula_sum 'Mg6 Te4'
_space_group_name_H-M_alt 'P 1'
_space_group_IT_number 1
_cell_length_a 9.5248
_cell_length_b 7.5456
_cell_length_c 7.1461
_cell_angle_alpha 80.78
_cell_angle_beta 51.44
_cell_angle_gamma 47.78
loop_
_space_group_symop_operation_xyz
'x,y,z'
loop_
_atom_site_label
_atom_site_fract_x
_atom_site_fract_y
_atom_site_fract_z
Mg1 0.7473 0.4809 0.3171
Mg2 0.4547 0.3171 0.4809
Mg3 0.7691 0.5027 0.7953
Mg4 0.9329 0.7953 0.5027
Mg5 0.0550 0.9450 0.9450
Mg6 0.3050 0.1950 0.1950
Te1 0.2514 0.8383 0.4187
Te2 0.4916 0.4187 0.8383
Te3 0.4117 0.9986 0.7584
Te4 0.8313 0.7584 0.9986

# PBE Mg5Te3, optimized geometry
# Energy above the most stable polymorph in this dataset = 0.1486 eV per atom
# Symmetry = P4/mmm
# Formation energy from raw total energies = -0.279 eV per atom
# Energy = -19.63 eV/cell
# Magnetic moment = 0.00 Bohr magnetons per cell
data_Mg5Te3
_chemical_formula_sum 'Mg5 Te3'
_space_group_name_H-M_alt 'P 1'
_space_group_IT_number 1
_cell_length_a 3.9760
_cell_length_b 3.9760
_cell_length_c 12.7831
_cell_angle_alpha 90.00
_cell_angle_beta 90.00
_cell_angle_gamma 90.00
loop_
_space_group_symop_operation_xyz
'x,y,z'
loop_
_atom_site_label
_atom_site_fract_x
_atom_site_fract_y
_atom_site_fract_z
Mg1 0.0000 0.0000 0.0000
Mg2 0.0000 0.0000 0.2454
Mg3 0.0000 0.0000 0.7546
Mg4 0.5000 0.5000 0.3828
Mg5 0.5000 0.5000 0.6172
Te1 0.0000 0.0000 0.5000
Te2 0.5000 0.5000 0.1470
Te3 0.5000 0.5000 0.8530

# PBE Mg4Te3, optimized geometry
# Energy above the most stable polymorph in this dataset = 0.0000 eV per atom
# Symmetry = P-43m
# Formation energy from raw total energies = -0.518 eV per atom
# Energy = -19.43 eV/cell
# Magnetic moment = 0.00 Bohr magnetons per cell
data_Mg4Te3
_chemical_formula_sum 'Mg4 Te3'
_space_group_name_H-M_alt 'P 1'
_space_group_IT_number 1
_cell_length_a 6.1499
_cell_length_b 6.1499
_cell_length_c 6.1499
_cell_angle_alpha 90.00
_cell_angle_beta 90.00
_cell_angle_gamma 90.00
loop_
_space_group_symop_operation_xyz
'x,y,z'
loop_
_atom_site_label
_atom_site_fract_x
_atom_site_fract_y
_atom_site_fract_z
Mg1 0.2171 0.7829 0.2171
Mg2 0.7829 0.2171 0.2171
Mg3 0.7829 0.7829 0.7829
Mg4 0.2171 0.2171 0.7829
Te1 0.5000 0.0000 0.5000
Te2 0.5000 0.5000 0.0000
Te3 0.0000 0.5000 0.5000